No. 1
A geometry-optimized Mg2VSiO structure, computed with GGA+U.

Unit cell a=4.144 b=4.144 c=4.331 alpha=90.00 beta=90.00 gamma=90.00
Fractional coordinates of all 5 atoms:
Mg  0.000  0.500  0.000
Mg  0.500  0.000  0.000
V  0.000  0.000  0.500
Si  0.500  0.500  0.500
O  0.000  0.000  0.000

Properties
Symmetry: P4/mmm
Density of states at the Fermi level: 0.283 states/eV/f.u.
Raw total energy: -4.9532 eV/atom

***

No. 2
A geometry-optimized MgVSi2O6 structure, computed with GGA+U.

Unit cell a=6.832 b=6.832 c=5.432 alpha=106.59 beta=106.59 gamma=82.99
Fractional coordinates of all 20 atoms:
Mg  0.241  0.759  0.750
Mg  0.759  0.241  0.250
V  0.404  0.596  0.250
V  0.596  0.404  0.750
Si  0.118  0.294  0.695
Si  0.294  0.118  0.195
Si  0.706  0.882  0.805
Si  0.882  0.706  0.305
O  0.121  0.643  0.354
O  0.126  0.182  0.378
O  0.182  0.126  0.878
O  0.283  0.474  0.825
O  0.357  0.879  0.146
O  0.474  0.283  0.325
O  0.526  0.717  0.675
O  0.643  0.121  0.854
O  0.717  0.526  0.175
O  0.818  0.874  0.122
O  0.874  0.818  0.622
O  0.879  0.357  0.646

Properties
Symmetry: C2/c
Density of states at the Fermi level: 0.000 states/eV/f.u.
Raw total energy: -7.5452 eV/atom

***

No. 3
A geometry-optimized MgVSi2O6 structure, computed with GGA+U.

Unit cell a=6.780 b=6.780 c=5.354 alpha=105.98 beta=105.98 gamma=82.46
Fractional coordinates of all 20 atoms:
Mg  0.099  0.901  0.750
Mg  0.901  0.099  0.250
V  0.271  0.729  0.250
V  0.729  0.271  0.750
Si  0.199  0.379  0.790
Si  0.379  0.199  0.290
Si  0.621  0.801  0.710
Si  0.801  0.621  0.210
O  0.029  0.206  0.665
O  0.126  0.618  0.828
O  0.206  0.029  0.165
O  0.318  0.374  0.110
O  0.374  0.318  0.610
O  0.382  0.874  0.672
O  0.618  0.126  0.328
O  0.626  0.682  0.390
O  0.682  0.626  0.890
O  0.794  0.971  0.835
O  0.874  0.382  0.172
O  0.971  0.794  0.335

Properties
Symmetry: C2/c
Density of states at the Fermi level: 0.000 states/eV/f.u.
Raw total energy: -7.5411 eV/atom

***

No. 4
A geometry-optimized MgV2SiO6 structure, computed with GGA+U.

Unit cell a=4.886 b=4.886 c=4.702 alpha=90.00 beta=90.00 gamma=90.00
Fractional coordinates of all 10 atoms:
Mg  0.000  0.000  0.000
V  0.000  0.500  0.403
V  0.500  0.000  0.403
Si  0.500  0.500  0.041
O  0.000  0.000  0.595
O  0.264  0.264  0.171
O  0.264  0.736  0.171
O  0.500  0.500  0.691
O  0.736  0.264  0.171
O  0.736  0.736  0.171

Properties
Symmetry: P4mm
Raw total energy: -7.2193 eV/atom

***

No. 5
A geometry-optimized MgSi2WO6 structure, computed with GGA+U.

Unit cell a=6.784 b=6.784 c=5.004 alpha=97.19 beta=97.19 gamma=85.46
Fractional coordinates of all 20 atoms:
Mg  0.226  0.774  0.750
Mg  0.774  0.226  0.250
Si  0.103  0.287  0.783
Si  0.287  0.103  0.283
Si  0.713  0.897  0.717
Si  0.897  0.713  0.217
W  0.416  0.584  0.250
W  0.584  0.416  0.750
O  0.092  0.203  0.085
O  0.114  0.662  0.371
O  0.203  0.092  0.585
O  0.251  0.470  0.837
O  0.338  0.886  0.129
O  0.470  0.251  0.337
O  0.530  0.749  0.663
O  0.662  0.114  0.871
O  0.749  0.530  0.163
O  0.797  0.908  0.415
O  0.886  0.338  0.629
O  0.908  0.797  0.915

Properties
Symmetry: C2/c
Density of states at the Fermi level: 0.521 states/eV/f.u.
Raw total energy: -7.1759 eV/atom

***

Copy entry 1 word for word.
A geometry-optimized Mg2VSiO structure, computed with GGA+U.

Unit cell a=4.144 b=4.144 c=4.331 alpha=90.00 beta=90.00 gamma=90.00
Fractional coordinates of all 5 atoms:
Mg  0.000  0.500  0.000
Mg  0.500  0.000  0.000
V  0.000  0.000  0.500
Si  0.500  0.500  0.500
O  0.000  0.000  0.000

Properties
Symmetry: P4/mmm
Density of states at the Fermi level: 0.283 states/eV/f.u.
Raw total energy: -4.9532 eV/atom

***

Copy entry 3 word for word.
A geometry-optimized MgVSi2O6 structure, computed with GGA+U.

Unit cell a=6.780 b=6.780 c=5.354 alpha=105.98 beta=105.98 gamma=82.46
Fractional coordinates of all 20 atoms:
Mg  0.099  0.901  0.750
Mg  0.901  0.099  0.250
V  0.271  0.729  0.250
V  0.729  0.271  0.750
Si  0.199  0.379  0.790
Si  0.379  0.199  0.290
Si  0.621  0.801  0.710
Si  0.801  0.621  0.210
O  0.029  0.206  0.665
O  0.126  0.618  0.828
O  0.206  0.029  0.165
O  0.318  0.374  0.110
O  0.374  0.318  0.610
O  0.382  0.874  0.672
O  0.618  0.126  0.328
O  0.626  0.682  0.390
O  0.682  0.626  0.890
O  0.794  0.971  0.835
O  0.874  0.382  0.172
O  0.971  0.794  0.335

Properties
Symmetry: C2/c
Density of states at the Fermi level: 0.000 states/eV/f.u.
Raw total energy: -7.5411 eV/atom

***

- raw total energy of number 4 (MgV2SiO6)?
  -7.2193 eV/atom

***

- Look up the raw total energy of the fourth one.
  -7.2193 eV/atom